## w
Computed, not measured: a relaxed SrTc3 crystal at the PBE level of DFT.

abc: 3.2157 3.2157 7.6144
angles: 90.00 90.00 90.00
Space group P4/mmm (No. 123)
Symmetry-distinct sites (fractional):
1 Sr 0.0000 0.0000 0.0000 [1 per cell]
2 Tc 0.0000 0.0000 0.5000 [1 per cell]
3 Tc 0.5000 0.5000 0.3278 [2 per cell]

Calculated values
Total magnetization ... 0.00 μB/atom
D(E_F) ... 1.0324 states/eV/atom

## x
Computed, not measured: a relaxed SrTc3 crystal at the PBE level of DFT.

abc: 5.6219 9.6178 2.6303
angles: 90.00 90.00 90.00
Space group Cmmm (No. 65)
Symmetry-distinct sites (fractional):
1 Sr 0.0000 0.0000 0.0000 [2 per cell]
2 Tc 0.0000 0.5000 0.0000 [2 per cell]
3 Tc 0.2500 0.2500 0.5000 [4 per cell]

Calculated values
Total magnetization ... 0.05 μB/atom
D(E_F) ... 1.7489 states/eV/atom

## y
Computed, not measured: a relaxed SrTc3 crystal at the PBE level of DFT.

abc: 2.8643 2.8643 29.7179
angles: 90.00 90.00 120.00
Space group R-3m (No. 166, hexagonal axes)
Symmetry-distinct sites (fractional):
1 Sr 0.0000 0.0000 0.0000 [3 per cell]
2 Tc 0.0000 0.0000 0.2381 [6 per cell]
3 Tc 0.0000 0.0000 0.5000 [3 per cell]

Calculated values
Total magnetization ... 0.00 μB/atom
D(E_F) ... 0.6927 states/eV/atom

Quick one: least stable of them? x

## w
Computed, not measured: a relaxed SrTc3 crystal at the PBE level of DFT.

abc: 6.5133 6.5133 6.5133
angles: 90.00 90.00 90.00
Space group Fm-3m (No. 225)
Symmetry-distinct sites (fractional):
1 Sr 0.0000 0.0000 0.0000 [4 per cell]
2 Tc 0.0000 0.0000 0.5000 [4 per cell]
3 Tc 0.2500 0.2500 0.2500 [8 per cell]

Calculated values
Total magnetization ... 0.00 μB/atom
D(E_F) ... 0.7179 states/eV/atom

## x
Computed, not measured: a relaxed SrTc3 crystal at the PBE level of DFT.

abc: 4.1824 4.1824 4.1824
angles: 90.00 90.00 90.00
Space group Pm-3m (No. 221)
Symmetry-distinct sites (fractional):
1 Sr 0.0000 0.0000 0.0000 [1 per cell]
2 Tc 0.0000 0.5000 0.5000 [3 per cell]

Calculated values
Total magnetization ... 0.00 μB/atom
D(E_F) ... 2.3849 states/eV/atom

## y
Computed, not measured: a relaxed SrTc3 crystal at the PBE level of DFT.

abc: 4.7392 4.7392 3.1235
angles: 90.00 90.00 90.00
Space group P4/mmm (No. 123)
Symmetry-distinct sites (fractional):
1 Sr 0.0000 0.0000 0.0000 [1 per cell]
2 Tc 0.0000 0.5000 0.5000 [2 per cell]
3 Tc 0.5000 0.5000 0.0000 [1 per cell]

Calculated values
Total magnetization ... 0.00 μB/atom
D(E_F) ... 1.5032 states/eV/atom

Quick one: least stable of them? x

## w
Computed, not measured: a relaxed SrTc3 crystal at the PBE level of DFT.

abc: 3.0576 5.1061 9.5436
angles: 90.00 90.00 90.00
Space group Immm (No. 71)
Symmetry-distinct sites (fractional):
1 Sr 0.0000 0.0000 0.0000 [2 per cell]
2 Tc 0.0000 0.0000 0.5000 [2 per cell]
3 Tc 0.0000 0.5000 0.2131 [4 per cell]

Calculated values
Total magnetization ... 0.00 μB/atom
D(E_F) ... 0.9496 states/eV/atom

## x
Computed, not measured: a relaxed SrTc3 crystal at the PBE level of DFT.

abc: 7.1945 12.1621 4.3097
angles: 90.00 90.00 90.00
Space group Cmcm (No. 63)
Symmetry-distinct sites (fractional):
1 Sr 0.0000 0.1632 0.2500 [4 per cell]
2 Tc 0.0000 0.3798 0.7500 [4 per cell]
3 Tc 0.1755 0.4396 0.2500 [8 per cell]

Calculated values
Total magnetization ... 0.00 μB/atom
D(E_F) ... 1.1242 states/eV/atom

## y
Computed, not measured: a relaxed SrTc3 crystal at the PBE level of DFT.

abc: 9.4434 9.4434 2.7216
angles: 90.00 90.00 120.00
Space group R-3m (No. 166, hexagonal axes)
Symmetry-distinct sites (fractional):
1 Sr 0.0000 0.0000 0.0000 [3 per cell]
2 Tc 0.0000 0.5000 0.0000 [9 per cell]

Calculated values
Total magnetization ... 0.00 μB/atom
D(E_F) ... 1.3179 states/eV/atom

## z
Computed, not measured: a relaxed SrTc3 crystal at the PBE level of DFT.

abc: 5.2614 5.2614 5.2614
angles: 90.00 90.00 90.00
Space group Pm-3n (No. 223)
Symmetry-distinct sites (fractional):
1 Sr 0.0000 0.0000 0.0000 [2 per cell]
2 Tc 0.0000 0.2500 0.5000 [6 per cell]

Calculated values
Total magnetization ... 0.00 μB/atom
D(E_F) ... 1.2366 states/eV/atom

Quick one: least stable of them? z

## w
Computed, not measured: a relaxed Sr2Tc crystal at the PBE level of DFT.

abc: 7.5945 7.5945 7.5945
angles: 90.00 90.00 90.00
Space group Fm-3m (No. 225)
Symmetry-distinct sites (fractional):
1 Sr 0.2500 0.2500 0.2500 [8 per cell]
2 Tc 0.0000 0.0000 0.0000 [4 per cell]

Calculated values
Total magnetization ... 0.67 μB/atom
D(E_F) ... 1.8854 states/eV/atom

## x
Computed, not measured: a relaxed Sr2Tc crystal at the PBE level of DFT.

abc: 7.6278 7.7916 3.5798
angles: 90.00 90.00 90.00
Space group Pnnm (No. 58)
Symmetry-distinct sites (fractional):
1 Sr 0.2241 0.1820 0.0000 [4 per cell]
2 Tc 0.0000 0.5000 0.0000 [2 per cell]

Calculated values
Total magnetization ... 0.59 μB/atom
D(E_F) ... 0.9743 states/eV/atom

## y
Computed, not measured: a relaxed Sr2Tc crystal at the PBE level of DFT.

abc: 17.1124 3.5249 7.0468
angles: 90.00 108.31 90.00
Space group C2/m (No. 12)
Symmetry-distinct sites (fractional):
1 Sr 0.1077 0.0000 0.0803 [4 per cell]
2 Sr 0.1544 0.0000 0.6199 [4 per cell]
3 Tc 0.0008 0.5000 0.3438 [4 per cell]

Calculated values
Total magnetization ... 0.00 μB/atom
D(E_F) ... 1.1575 states/eV/atom

Quick one: least stable of them? w

## w
Computed, not measured: a relaxed Sr2Tc crystal at the PBE level of DFT.

abc: 17.3333 4.0619 6.5514
angles: 90.00 103.75 90.00
Space group C2/m (No. 12)
Symmetry-distinct sites (fractional):
1 Sr 0.0826 0.0000 0.3008 [4 per cell]
2 Sr 0.1592 0.5000 0.8287 [4 per cell]
3 Tc 0.2381 0.5000 0.4028 [4 per cell]

Calculated values
Total magnetization ... 0.00 μB/atom
D(E_F) ... 1.4062 states/eV/atom

## x
Computed, not measured: a relaxed Sr2Tc crystal at the PBE level of DFT.

abc: 5.4063 5.4063 3.3620
angles: 90.00 90.00 120.00
Space group P-3m1 (No. 164)
Symmetry-distinct sites (fractional):
1 Sr 0.3333 0.6667 0.2993 [2 per cell]
2 Tc 0.0000 0.0000 0.0000 [1 per cell]

Calculated values
Total magnetization ... 0.00 μB/atom
D(E_F) ... 1.0857 states/eV/atom

## y
Computed, not measured: a relaxed Sr2Tc crystal at the PBE level of DFT.

abc: 6.8071 6.8071 10.5042
angles: 90.00 90.00 120.00
Space group P6_3/mmc (No. 194)
Symmetry-distinct sites (fractional):
1 Sr 0.0000 0.0000 0.0000 [2 per cell]
2 Sr 0.1798 0.3596 0.2500 [6 per cell]
3 Tc 0.3333 0.6667 0.5145 [4 per cell]

Calculated values
Total magnetization ... 0.81 μB/atom
D(E_F) ... 1.3340 states/eV/atom

Quick one: least stable of them? y

## w
Computed, not measured: a relaxed Sr4Tc crystal at the PBE level of DFT.

abc: 7.5759 7.5759 7.5759
angles: 90.00 90.00 90.00
Space group Im-3m (No. 229)
Symmetry-distinct sites (fractional):
1 Sr 0.2500 0.2500 0.2500 [8 per cell]
2 Tc 0.0000 0.0000 0.0000 [2 per cell]

Calculated values
Total magnetization ... 0.33 μB/atom
D(E_F) ... 1.2148 states/eV/atom

## x
Computed, not measured: a relaxed Sr4Tc crystal at the PBE level of DFT.

abc: 6.0318 6.0318 6.0318
angles: 90.00 90.00 90.00
Space group Pm-3m (No. 221)
Symmetry-distinct sites (fractional):
1 Sr 0.0000 0.0000 0.0000 [1 per cell]
2 Sr 0.0000 0.5000 0.5000 [3 per cell]
3 Tc 0.5000 0.5000 0.5000 [1 per cell]

Calculated values
Total magnetization ... 0.40 μB/atom
D(E_F) ... 0.8355 states/eV/atom

Quick one: least stable of them? w